Below is a geometry-optimized Bi2Pb2F structure, with properties calculated at the GGA-PBE level.

Output
Energy above the lowest structure with this stoichiometry in meV per atom: 128
Uncorrected formation energy in meV per atom: -430
V in Å³ per cell: 285.08

```
Bi2Pb2F
1.0
6.919 0.000 0.000
0.000 6.919 0.000
0.000 0.000 5.954
Bi Pb F
4 4 2
direct
0.163 0.337 0.000 Bi
0.337 0.837 0.000 Bi
0.663 0.163 0.000 Bi
0.837 0.663 0.000 Bi
0.189 0.689 0.500 Pb
0.311 0.189 0.500 Pb
0.689 0.811 0.500 Pb
0.811 0.311 0.500 Pb
0.000 0.000 0.000 F
0.500 0.500 0.000 F
```